The following is a GGA-PBE calculation of a relaxed structure of Zr2BeAu, from the Alexandria database.

Properties
The total moment is 0.00 μB per cell. Its uncorrected energy is -6.128 eV/atom. Its formation energy from the elements is -103 meV per atom. As for the space group: I-4m2 (119). The value obtained for the calculated volume is 18.329 Å³ per atom.

Cell lengths 5.378, 5.378, 5.378 Å; angles 136.29, 136.29, 63.53 degrees
Fractional coordinates of all 4 atoms:
Au 0.500 0.500 0.000
Be 0.750 0.250 0.500
Zr 0.250 0.750 0.500
Zr 0.000 0.000 0.000

The following is a GGA-PBE calculation of a relaxed structure of SiSbH3, from the Alexandria database.

Properties
The total moment is 0.00 μB per cell. Its uncorrected energy is -3.261 eV/atom. As for the space group: Pm-3m (221). The value obtained for the calculated volume is 10.246 Å³ per atom.

Cell lengths 3.714, 3.714, 3.714 Å; angles 90.00, 90.00, 90.00 degrees
Fractional coordinates of all 5 atoms:
H 0.000 0.000 0.500
Sb 0.500 0.500 0.500
H 0.000 0.500 0.000
H 0.500 0.000 0.000
Si 0.000 0.000 0.000

The following is a GGA-PBE calculation of a relaxed structure of Tm2PuCu, from the Alexandria database.

Properties
The total moment is 6.18 μB per cell. Its uncorrected energy is -6.559 eV/atom. Its formation energy from the elements is 284 meV per atom. As for the space group: R-3m (166). The value obtained for the calculated volume is 26.520 Å³ per atom.

Cell lengths 3.386, 3.386, 10.861 Å; angles 81.03, 81.03, 60.00 degrees
Last column: magnetic moment on the atom in μB.
Fractional coordinates of all 4 atoms:
Tm 0.898 0.898 0.307  -0.01
Tm 0.102 0.102 0.693  -0.01
Cu 0.500 0.500 0.500  -0.01
Pu 0.000 0.000 0.000  5.78

The following is a GGA-PBE calculation of a relaxed structure of Ba3La2CeTe6, from the Alexandria database.

Properties
The total moment is 1.49 μB per cell. Its uncorrected energy is -4.981 eV/atom. As for the space group: C2/m (12). The value obtained for the calculated volume is 38.242 Å³ per atom. Its formation energy without anion corrections is -155.7 kJ/mol of atoms.

Cell lengths 8.173, 8.173, 8.383 Å; angles 99.36, 99.36, 119.94 degrees
Last column: magnetic moment on the atom in μB.
Fractional coordinates of all 12 atoms:
La 0.334 0.666 0.000  0.04
Te 0.076 0.407 0.227  -0.01
Te 0.593 0.924 0.773  -0.01
Te 0.407 0.076 0.227  -0.01
Te 0.745 0.745 0.228  0.00
Te 0.255 0.255 0.772  0.00
Ba 0.168 0.832 0.500  0.01
Ba 0.832 0.168 0.500  0.01
Ce 0.000 0.000 0.000  1.10
La 0.666 0.334 0.000  0.04
Ba 0.500 0.500 0.500  0.01
Te 0.924 0.593 0.773  -0.01

The highest uncorrected energy belongs to which entry? SiSbH3

What did the third record say?
The following is a GGA-PBE calculation of a relaxed structure of Tm2PuCu, from the Alexandria database.

Properties
The total moment is 6.18 μB per cell. Its uncorrected energy is -6.559 eV/atom. Its formation energy from the elements is 284 meV per atom. As for the space group: R-3m (166). The value obtained for the calculated volume is 26.520 Å³ per atom.

Cell lengths 3.386, 3.386, 10.861 Å; angles 81.03, 81.03, 60.00 degrees
Last column: magnetic moment on the atom in μB.
Fractional coordinates of all 4 atoms:
Tm 0.898 0.898 0.307  -0.01
Tm 0.102 0.102 0.693  -0.01
Cu 0.500 0.500 0.500  -0.01
Pu 0.000 0.000 0.000  5.78

Which formula does entry 2 have? SiSbH3

Please write out number 3 again, unchanged.
The following is a GGA-PBE calculation of a relaxed structure of Tm2PuCu, from the Alexandria database.

Properties
The total moment is 6.18 μB per cell. Its uncorrected energy is -6.559 eV/atom. Its formation energy from the elements is 284 meV per atom. As for the space group: R-3m (166). The value obtained for the calculated volume is 26.520 Å³ per atom.

Cell lengths 3.386, 3.386, 10.861 Å; angles 81.03, 81.03, 60.00 degrees
Last column: magnetic moment on the atom in μB.
Fractional coordinates of all 4 atoms:
Tm 0.898 0.898 0.307  -0.01
Tm 0.102 0.102 0.693  -0.01
Cu 0.500 0.500 0.500  -0.01
Pu 0.000 0.000 0.000  5.78